No. 1
Entry from Alexandria via LeMat-Bulk: a relaxed structure of Ac8CoRh3Br3 (PBE).

Properties
symmetry = C2/m, No. 12
spin magnetization = 0.44 Bohr magnetons per cell
mass density = 7.6 Mg/m³
ΔE_f (raw) = -914 meV per atom

Unit cell a=8.643 b=8.643 c=9.618 alpha=116.65 beta=116.65 gamma=60.00
Sites, in units of the cell vectors:
Ac: 0.227 0.227 0.692
Ac: 0.228 0.738 0.692
Ac: 0.262 0.772 0.308
Ac: 0.267 0.267 0.303
Ac: 0.733 0.733 0.697
Ac: 0.738 0.228 0.692
Ac: 0.772 0.262 0.308
Ac: 0.773 0.773 0.308
Co: 0.000 0.000 0.500
Rh: 0.000 0.500 0.500
Rh: 0.500 0.000 0.500
Rh: 0.500 0.500 0.500
Br: 0.000 0.000 0.000
Br: 0.000 0.500 0.000
Br: 0.500 0.000 0.000

---

No. 2
Entry from Alexandria via LeMat-Bulk: a relaxed structure of Ac8Co3RuBr4 (PBE).

Properties
symmetry = R-3m, No. 166
spin magnetization = 0.00 Bohr magnetons per cell
mass density = 7.8 Mg/m³
ΔE_f (raw) = -778 meV per atom

Unit cell a=9.625 b=9.625 c=9.625 alpha=52.22 beta=52.22 gamma=52.22
Sites, in units of the cell vectors:
Ac: 0.229 0.732 0.732
Ac: 0.230 0.230 0.230
Ac: 0.268 0.268 0.771
Ac: 0.268 0.771 0.268
Ac: 0.732 0.229 0.732
Ac: 0.732 0.732 0.229
Ac: 0.770 0.770 0.770
Ac: 0.771 0.268 0.268
Co: 0.000 0.000 0.500
Co: 0.000 0.500 0.000
Co: 0.500 0.000 0.000
Ru: 0.500 0.500 0.500
Br: 0.000 0.000 0.000
Br: 0.000 0.500 0.500
Br: 0.500 0.000 0.500
Br: 0.500 0.500 0.000

---

No. 3
Entry from Alexandria via LeMat-Bulk: a relaxed structure of Ac4CoRuBr2 (PBE).

Properties
symmetry = P2/m, No. 10
spin magnetization = 0.00 Bohr magnetons per cell
mass density = 7.8 Mg/m³
ΔE_f (raw) = -793 meV per atom

Unit cell a=7.364 b=4.265 c=8.652 alpha=90.00 beta=106.62 gamma=90.00
Sites, in units of the cell vectors:
Ac: 0.229 0.000 0.192
Ac: 0.267 0.500 0.806
Ac: 0.733 0.500 0.194
Ac: 0.771 0.000 0.808
Co: 0.000 0.500 0.000
Ru: 0.500 0.000 0.000
Br: 0.000 0.000 0.500
Br: 0.500 0.500 0.500

---

No. 4
Entry from Alexandria via LeMat-Bulk: a relaxed structure of Ac6Co2RuBr3 (PBE).

Properties
symmetry = C2/m, No. 12
spin magnetization = 0.00 Bohr magnetons per cell
mass density = 7.8 Mg/m³
ΔE_f (raw) = -784 meV per atom

Unit cell a=10.523 b=10.523 c=9.627 alpha=112.52 beta=112.52 gamma=23.27
Sites, in units of the cell vectors:
Ac: 0.013 0.013 0.222
Ac: 0.320 0.320 0.449
Ac: 0.345 0.345 0.883
Ac: 0.655 0.655 0.117
Ac: 0.680 0.680 0.551
Ac: 0.987 0.987 0.778
Co: 0.169 0.169 0.338
Co: 0.831 0.831 0.662
Ru: 0.500 0.500 0.000
Br: 0.166 0.166 0.835
Br: 0.500 0.500 0.500
Br: 0.834 0.834 0.165

---

No. 5
Entry from Alexandria via LeMat-Bulk: a relaxed structure of Ac8CoRu3Br4 (PBE).

Properties
symmetry = R-3m, No. 166
spin magnetization = 0.00 Bohr magnetons per cell
mass density = 7.9 Mg/m³
ΔE_f (raw) = -806 meV per atom

Unit cell a=9.644 b=9.644 c=9.644 alpha=52.77 beta=52.77 gamma=52.77
Sites, in units of the cell vectors:
Ac: 0.231 0.231 0.231
Ac: 0.232 0.731 0.731
Ac: 0.269 0.269 0.768
Ac: 0.269 0.768 0.269
Ac: 0.731 0.232 0.731
Ac: 0.731 0.731 0.232
Ac: 0.768 0.269 0.269
Ac: 0.769 0.769 0.769
Co: 0.500 0.500 0.500
Ru: 0.000 0.000 0.500
Ru: 0.000 0.500 0.000
Ru: 0.500 0.000 0.000
Br: 0.000 0.000 0.000
Br: 0.000 0.500 0.500
Br: 0.500 0.000 0.500
Br: 0.500 0.500 0.000

---

No. 6
Entry from Alexandria via LeMat-Bulk: a relaxed structure of Ac4CoSBr2 (PBE).

Properties
symmetry = P2/m, No. 10
spin magnetization = 0.00 Bohr magnetons per cell
mass density = 7.4 Mg/m³
ΔE_f (raw) = -1151 meV per atom

Unit cell a=7.802 b=4.179 c=8.387 alpha=90.00 beta=107.36 gamma=90.00
Sites, in units of the cell vectors:
Ac: 0.210 0.000 0.193
Ac: 0.258 0.500 0.794
Ac: 0.742 0.500 0.206
Ac: 0.790 0.000 0.807
Co: 0.000 0.500 0.000
S: 0.500 0.000 0.000
Br: 0.000 0.000 0.500
Br: 0.500 0.500 0.500

---

No. 7
Entry from Alexandria via LeMat-Bulk: a relaxed structure of Ac6Co2SeBr3 (PBE).

Properties
symmetry = C2/m, No. 12
spin magnetization = 0.00 Bohr magnetons per cell
mass density = 7.5 Mg/m³
ΔE_f (raw) = -997 meV per atom

Unit cell a=10.345 b=10.345 c=9.721 alpha=107.19 beta=107.19 gamma=23.69
Sites, in units of the cell vectors:
Ac: 0.022 0.022 0.247
Ac: 0.319 0.319 0.455
Ac: 0.332 0.332 0.868
Ac: 0.668 0.668 0.132
Ac: 0.681 0.681 0.545
Ac: 0.978 0.978 0.753
Co: 0.169 0.169 0.333
Co: 0.831 0.831 0.667
Se: 0.500 0.500 0.000
Br: 0.155 0.155 0.835
Br: 0.500 0.500 0.500
Br: 0.845 0.845 0.165

---

No. 8
Entry from Alexandria via LeMat-Bulk: a relaxed structure of Ac4CoSiBr2 (PBE).

Properties
symmetry = P2/m, No. 10
spin magnetization = 0.00 Bohr magnetons per cell
mass density = 7.0 Mg/m³
ΔE_f (raw) = -846 meV per atom

Unit cell a=7.892 b=4.322 c=8.308 alpha=90.00 beta=106.09 gamma=90.00
Sites, in units of the cell vectors:
Ac: 0.215 0.000 0.195
Ac: 0.247 0.500 0.800
Ac: 0.753 0.500 0.200
Ac: 0.785 0.000 0.805
Co: 0.000 0.500 0.000
Si: 0.500 0.000 0.000
Br: 0.000 0.000 0.500
Br: 0.500 0.500 0.500

---

No. 9
Entry from Alexandria via LeMat-Bulk: a relaxed structure of Ac8CoSi3Br4 (PBE).

Properties
symmetry = R-3m, No. 166
spin magnetization = 0.91 Bohr magnetons per cell
mass density = 6.9 Mg/m³
ΔE_f (raw) = -935 meV per atom

Unit cell a=9.316 b=9.316 c=9.316 alpha=58.10 beta=58.10 gamma=58.10
Sites, in units of the cell vectors:
Ac: 0.239 0.239 0.239
Ac: 0.251 0.727 0.727
Ac: 0.273 0.273 0.749
Ac: 0.273 0.749 0.273
Ac: 0.727 0.251 0.727
Ac: 0.727 0.727 0.251
Ac: 0.749 0.273 0.273
Ac: 0.761 0.761 0.761
Co: 0.500 0.500 0.500
Si: 0.000 0.000 0.500
Si: 0.000 0.500 0.000
Si: 0.500 0.000 0.000
Br: 0.000 0.000 0.000
Br: 0.000 0.500 0.500
Br: 0.500 0.000 0.500
Br: 0.500 0.500 0.000

---

No. 10
Entry from Alexandria via LeMat-Bulk: a relaxed structure of AcSmCoBr (PBE).

Properties
symmetry = Cm, No. 8
spin magnetization = 0.00 Bohr magnetons per cell
mass density = 7.4 Mg/m³
ΔE_f (raw) = -718 meV per atom

Unit cell a=4.065 b=4.065 c=8.411 alpha=103.91 beta=103.91 gamma=59.98
Sites, in units of the cell vectors:
Ac: 0.000 0.000 0.000
Sm: 0.206 0.206 0.621
Co: 0.600 0.600 0.802
Br: 0.780 0.780 0.340

---

No. 11
Entry from Alexandria via LeMat-Bulk: a relaxed structure of AcThCoBr (PBE).

Properties
symmetry = R3m, No. 160
spin magnetization = 0.00 Bohr magnetons per cell
mass density = 8.3 Mg/m³
ΔE_f (raw) = -729 meV per atom

Unit cell a=8.471 b=8.471 c=8.471 alpha=28.12 beta=28.12 gamma=28.12
Sites, in units of the cell vectors:
Ac: 0.000 0.000 0.000
Th: 0.790 0.790 0.790
Co: 0.405 0.405 0.405
Br: 0.225 0.225 0.225

---

No. 12
Entry from Alexandria via LeMat-Bulk: a relaxed structure of Ac4TlCoBr2 (PBE).

Properties
symmetry = P2/m, No. 10
spin magnetization = 0.00 Bohr magnetons per cell
mass density = 7.5 Mg/m³
ΔE_f (raw) = -724 meV per atom

Unit cell a=8.380 b=4.303 c=8.716 alpha=90.00 beta=110.33 gamma=90.00
Sites, in units of the cell vectors:
Ac: 0.200 0.000 0.297
Ac: 0.224 0.500 0.698
Ac: 0.776 0.500 0.302
Ac: 0.800 0.000 0.703
Tl: 0.500 0.500 0.500
Co: 0.000 0.000 0.500
Br: 0.000 0.500 0.000
Br: 0.500 0.000 0.000